Material: Y2ClF
Method: DFT, meta-GGA SCAN
State: single point on PBEsol structure

## Properties
Crystal system: cubic
Total moment, Bohr magnetons per cell: 0.00
Raw formation energy, eV per atom: -1.31
DOS at the Fermi energy, states/eV/atom: 0.782
DFT total energy, eV/cell: -72.5

Cell: 4.6524 4.6524 4.6524 Å, 60.00 60.00 60.00°
Last column: nearest neighbours and their distance in Å.
Element x y z (fractional)
F: 0.0000 0.0000 0.0000  8 Y 2.85
Y: 0.7500 0.7500 0.7500  4 F 2.85, 4 Cl 2.85
Y: 0.2500 0.2500 0.2500  4 Cl 2.85, 4 F 2.85
Cl: 0.5000 0.5000 0.5000  8 Y 2.85